1.
VASP calculation (GGA-PBE) on a relaxed structure of CsCdHg2Au.

Unit cell a=5.8145 b=5.8145 c=5.4783 alpha=90.00 beta=90.00 gamma=90.00
Closest atoms and distances in Å follow each position.
Fractional positions:
Cs 0.0000 0.0000 0.0000  8 Hg 3.99, 4 Au 4.11
Cd 0.5000 0.5000 0.5000  2 Au 2.74, 4 Hg 2.91
Hg 0.0000 0.5000 0.5000  2 Cd 2.91
Hg 0.5000 0.0000 0.5000  2 Cd 2.91
Au 0.5000 0.5000 0.0000  2 Cd 2.74

## Properties
Raw total energy (eV/cell): -6.298
Magnetic moment (μB per cell): 0.00
Excess energy over the best structure of this formula in the dataset (eV/atom): 0.071
Space-group type: P4/mmm
ΔH_f (0 K) (meV per atom): -130
Fermi-level density of states (states/eV/cell): 1.6

2.
VASP calculation (GGA-PBE) on a relaxed structure of CsCdHgAu2.

Unit cell a=6.8211 b=6.8211 c=6.8211 alpha=136.79 beta=136.79 gamma=62.77
Closest atoms and distances in Å follow each position.
Fractional positions:
Cs 0.0000 0.0000 0.0000  8 Au 3.82, 4 Hg 3.85, 4 Cd 3.85
Cd 0.2500 0.7500 0.5000  4 Au 2.93
Hg 0.7500 0.2500 0.5000  4 Au 2.93
Au 0.3799 0.3799 0.0000  1 Au 2.80, 2 Cd 2.93, 2 Hg 2.93
Au 0.6201 0.6201 0.0000  1 Au 2.80, 2 Hg 2.93, 2 Cd 2.93

## Properties
Raw total energy (eV/cell): -9.644
Magnetic moment (μB per cell): 0.00
Excess energy over the best structure of this formula in the dataset (eV/atom): 0.000
Space-group type: I-4m2
ΔH_f (0 K) (meV per atom): -204
Fermi-level density of states (states/eV/cell): 1.4

3.
VASP calculation (GGA-PBE) on a relaxed structure of Cs2CdHgAu.

Unit cell a=9.1623 b=5.1986 c=9.3761 alpha=90.00 beta=112.38 gamma=90.00
Closest atoms and distances in Å follow each position.
Fractional positions:
Cs 0.0684 0.2500 0.2112  3 Au 3.57-3.68, 1 Hg 3.91
Cs 0.3587 0.7500 0.6260  3 Au 3.64-3.66, 2 Hg 3.85, 2 Cd 3.87
Cs 0.6413 0.2500 0.3740  3 Au 3.64-3.66, 2 Hg 3.85, 2 Cd 3.87
Cs 0.9316 0.7500 0.7888  3 Au 3.57-3.68, 1 Hg 3.91
Cd 0.3040 0.2500 0.9077  1 Au 2.92, 3 Hg 3.11-3.13
Cd 0.6960 0.7500 0.0923  1 Au 2.92, 3 Hg 3.11-3.13
Hg 0.3596 0.7500 0.1040  3 Cd 3.11-3.13
Hg 0.6404 0.2500 0.8960  3 Cd 3.11-3.13
Au 0.0689 0.2500 0.5921  1 Cd 2.92, 2 Au 3.11
Au 0.9311 0.7500 0.4079  1 Cd 2.92, 2 Au 3.11

## Properties
Raw total energy (eV/cell): -14.604
Magnetic moment (μB per cell): 0.00
Excess energy over the best structure of this formula in the dataset (eV/atom): 0.000
Space-group type: P2_1/m
ΔH_f (0 K) (meV per atom): -220
Fermi-level density of states (states/eV/cell): 6.0

4.
VASP calculation (GGA-PBE) on a relaxed structure of Cs3CdAu2I6.

Unit cell a=9.0640 b=9.0640 c=9.7073 alpha=90.00 beta=90.00 gamma=120.00
Closest atoms and distances in Å follow each position.
Fractional positions:
Cs 0.0000 0.0000 0.0000  6 I 3.85
Cs 0.3333 0.6667 0.6431  1 Au 3.64
Cs 0.6667 0.3333 0.3569  1 Au 3.64
Cd 0.0000 0.0000 0.5000  6 I 3.17
Au 0.3333 0.6667 0.2681  3 I 2.74
Au 0.6667 0.3333 0.7319  3 I 2.74
I 0.1600 0.3201 0.3008  1 Au 2.74
I 0.1600 0.8400 0.3008  1 Au 2.74
I 0.3201 0.1600 0.6992  1 Au 2.74
I 0.6799 0.8400 0.3008  1 Au 2.74
I 0.8400 0.1600 0.6992  1 Au 2.74
I 0.8400 0.6799 0.6992  1 Au 2.74

## Properties
Raw total energy (eV/cell): -28.463
Magnetic moment (μB per cell): 0.00
Energy relative to the elements, uncorrected (eV per atom): -0.76
Space-group type: P-3m1
Fermi-level density of states (states/eV/cell): 2.6

5.
VASP calculation (GGA-PBE) on a relaxed structure of Cs2CdAuI6.

Unit cell a=8.0754 b=8.3103 c=8.9383 alpha=115.52 beta=90.01 gamma=119.01
Closest atoms and distances in Å follow each position.
Fractional positions:
Cs 0.0000 0.0000 0.0000  9 I 3.93-4.26
Cs 0.4655 0.9310 0.4466  9 I 3.93-4.26
Cd 0.2321 0.4652 0.7208  2 I 2.77
Au 0.7328 0.4661 0.2233  4 I 2.78-2.79
I 0.0091 0.5309 0.0345  1 Au 2.78
I 0.0147 0.0294 0.5731  1 Cd 2.77
I 0.4503 0.9016 0.8741  1 Cd 2.77
I 0.4562 0.3999 0.4124  1 Au 2.79
I 0.5218 0.5304 0.0335  1 Au 2.78
I 0.9429 0.4001 0.4132  1 Au 2.79

## Properties
Raw total energy (eV/cell): -23.037
Magnetic moment (μB per cell): 0.00
Energy relative to the elements, uncorrected (eV per atom): -0.78
Space-group type: P1
Fermi-level density of states (states/eV/cell): 3.8

6.
VASP calculation (GGA-PBE) on a relaxed structure of CsCd2InAu.

Unit cell a=7.1079 b=7.1079 c=7.1079 alpha=139.62 beta=137.53 gamma=60.04
Closest atoms and distances in Å follow each position.
Fractional positions:
Cs 0.0000 0.0000 0.0000  8 Cd 3.81-4.10, 4 Au 3.87, 4 In 3.95-4.00
Cd 0.6109 0.6109 0.0000  1 Au 2.88, 2 Cd 3.06, 2 In 3.14
Cd 0.7588 0.2588 0.5000  2 Au 2.95, 2 Cd 3.06
In 0.2567 0.7567 0.5000  2 Au 2.86, 2 Cd 3.14
Au 0.3765 0.3765 0.0000  2 In 2.86, 3 Cd 2.88-2.95

## Properties
Raw total energy (eV/cell): -9.408
Magnetic moment (μB per cell): 0.00
Excess energy over the best structure of this formula in the dataset (eV/atom): 0.000
Space-group type: Imm2
ΔH_f (0 K) (meV per atom): -142
Fermi-level density of states (states/eV/cell): 2.5

7.
VASP calculation (GGA-PBE) on a relaxed structure of CsCd2InAu.

Unit cell a=5.4963 b=5.4963 c=5.5464 alpha=90.00 beta=90.00 gamma=90.00
Closest atoms and distances in Å follow each position.
Fractional positions:
Cs 0.0000 0.0000 0.0000  4 In 3.89, 8 Cd 3.90
Cd 0.0000 0.5000 0.5000  2 Au 2.75
Cd 0.5000 0.0000 0.5000  2 Au 2.75
In 0.5000 0.5000 0.0000  2 Au 2.77
Au 0.5000 0.5000 0.5000  4 Cd 2.75, 2 In 2.77

## Properties
Raw total energy (eV/cell): -9.099
Magnetic moment (μB per cell): 0.00
Excess energy over the best structure of this formula in the dataset (eV/atom): 0.062
Space-group type: P4/mmm
ΔH_f (0 K) (meV per atom): -80
Fermi-level density of states (states/eV/cell): 2.2

8.
VASP calculation (GGA-PBE) on a relaxed structure of CsCdInAu.

Unit cell a=7.5092 b=7.5092 c=7.5092 alpha=38.02 beta=38.02 gamma=38.02
Closest atoms and distances in Å follow each position.
Fractional positions:
Cs 0.0000 0.0000 0.0000  4 Au 3.91-4.15, 4 In 4.03-4.07, 3 Cd 4.09
Cd 0.5253 0.5253 0.5253  3 Au 2.83, 3 In 3.02
In 0.8070 0.8070 0.8070  3 Au 2.99, 3 Cd 3.02
Au 0.1874 0.1874 0.1874  3 Cd 2.83, 3 In 2.99

## Properties
Raw total energy (eV/cell): -8.622
Magnetic moment (μB per cell): 0.00
Space-group type: R3m
ΔH_f (0 K) (meV per atom): -209
Fermi-level density of states (states/eV/cell): 1.4

9.
VASP calculation (GGA-PBE) on a relaxed structure of CsCd2InAu4.

Unit cell a=11.3269 b=11.3269 c=11.3269 alpha=24.09 beta=24.09 gamma=24.09
Closest atoms and distances in Å follow each position.
Fractional positions:
Cs 0.0000 0.0000 0.0000  6 Au 3.79, 6 Cd 4.20
Cd 0.2367 0.2367 0.2367  6 Au 2.79-3.02
Cd 0.7633 0.7633 0.7633  6 Au 2.79-3.02
In 0.5000 0.5000 0.5000  8 Au 2.87-2.92
Au 0.1356 0.1356 0.1356  3 In 2.92, 3 Cd 3.02
Au 0.4129 0.4129 0.4129  3 Cd 2.79, 1 In 2.87
Au 0.5871 0.5871 0.5871  3 Cd 2.79, 1 In 2.87
Au 0.8644 0.8644 0.8644  3 In 2.92, 3 Cd 3.02

## Properties
Raw total energy (eV/cell): -19.760
Magnetic moment (μB per cell): 0.00
Space-group type: R-3m
ΔH_f (0 K) (meV per atom): -154
Fermi-level density of states (states/eV/cell): 1.2

10.
VASP calculation (GGA-PBE) on a relaxed structure of Cs2Cd4InAu3.

Unit cell a=5.0234 b=5.0234 c=11.8948 alpha=90.00 beta=90.00 gamma=90.00
Closest atoms and distances in Å follow each position.
Fractional positions:
Cs 0.0000 0.5000 0.2444  6 Au 3.83-3.94, 8 Cd 3.84, 2 In 3.94
Cs 0.5000 0.0000 0.7556  6 Au 3.83-3.94, 8 Cd 3.84, 2 In 3.94
Cd 0.0000 0.0000 0.0000  4 Au 2.92
Cd 0.0000 0.5000 0.6335  3 Au 2.87-2.97, 2 In 2.97
Cd 0.5000 0.0000 0.3665  3 Au 2.87-2.97, 2 In 2.97
Cd 0.5000 0.5000 0.0000  4 Au 2.92
In 0.0000 0.0000 0.5000  4 Cd 2.97
Au 0.0000 0.5000 0.8750  5 Cd 2.87-2.92
Au 0.5000 0.0000 0.1250  5 Cd 2.87-2.92
Au 0.5000 0.5000 0.5000  4 Cd 2.97

## Properties
Raw total energy (eV/cell): -19.642
Magnetic moment (μB per cell): 0.00
Space-group type: P-4m2
ΔH_f (0 K) (meV per atom): -170
Fermi-level density of states (states/eV/cell): 2.0

11.
VASP calculation (GGA-PBE) on a relaxed structure of CsCdIn2Au.

Unit cell a=5.5601 b=5.5601 c=5.5497 alpha=90.00 beta=90.00 gamma=90.00
Closest atoms and distances in Å follow each position.
Fractional positions:
Cs 0.0000 0.0000 0.0000  8 In 3.93, 4 Cd 3.93
Cd 0.5000 0.5000 0.0000  2 Au 2.77
In 0.0000 0.5000 0.5000  2 Au 2.78
In 0.5000 0.0000 0.5000  2 Au 2.78
Au 0.5000 0.5000 0.5000  2 Cd 2.77, 4 In 2.78

## Properties
Raw total energy (eV/cell): -10.699
Magnetic moment (μB per cell): 0.00
Space-group type: P4/mmm
ΔH_f (0 K) (meV per atom): -35
Fermi-level density of states (states/eV/cell): 2.2

12.
VASP calculation (GGA-PBE) on a relaxed structure of CsCd2InAu.

Unit cell a=5.7381 b=5.7381 c=5.5292 alpha=90.00 beta=90.00 gamma=90.00
Closest atoms and distances in Å follow each position.
Fractional positions:
Cs 0.0000 0.0000 0.0000  8 Cd 3.98, 4 Au 4.06
Cd 0.0000 0.5000 0.5000  2 In 2.87
Cd 0.5000 0.0000 0.5000  2 In 2.87
In 0.5000 0.5000 0.5000  2 Au 2.76, 4 Cd 2.87
Au 0.5000 0.5000 0.0000  2 In 2.76

## Properties
Raw total energy (eV/cell): -8.784
Magnetic moment (μB per cell): 0.00
Excess energy over the best structure of this formula in the dataset (eV/atom): 0.125
Space-group type: P4/mmm
ΔH_f (0 K) (meV per atom): -17
Fermi-level density of states (states/eV/cell): 1.5

13.
VASP calculation (GGA-PBE) on a relaxed structure of CsK2Cd2Au2.

Unit cell a=13.7641 b=13.7641 c=13.7641 alpha=20.54 beta=20.54 gamma=20.54
Closest atoms and distances in Å follow each position.
Fractional positions:
Cs 0.0000 0.0000 0.0000  6 Cd 3.96, 6 Au 3.98
K 0.1212 0.1212 0.1212  3 Au 3.53, 3 Cd 3.55
K 0.8788 0.8788 0.8788  3 Au 3.53, 3 Cd 3.55
Cd 0.2650 0.2650 0.2650  3 Au 2.83
Cd 0.7350 0.7350 0.7350  3 Au 2.83
Au 0.4024 0.4024 0.4024  3 Cd 2.83
Au 0.5976 0.5976 0.5976  3 Cd 2.83

## Properties
Raw total energy (eV/cell): -12.959
Magnetic moment (μB per cell): 0.00
Space-group type: R-3m
ΔH_f (0 K) (meV per atom): -218
Fermi-level density of states (states/eV/cell): 3.3